Entry from the Alexandria database: an optimized crystal structure of AcPm4Hg5 (PBE-GGA).

Its magnetic moment is 1.92 μB per cell. The total energy is -2.931 eV per atom. For the calculated formation energy, the calculation gives -0.47 eV per atom. The density of states at the Fermi level is 11.588 states/eV/f.u.

The structure belongs to space group P4/mmm (No. 123); the cell edges are 3.8621, 3.8621 and 19.2732 Å and the angles 90.00°, 90.00° and 90.00°. The inequivalent atoms are Ac at (0.0000, 0.0000, 0.0000), Pm at (0.0000, 0.0000, 0.2088), Pm at (0.0000, 0.0000, 0.4032), Hg at (0.5000, 0.5000, 0.1139), Hg at (0.5000, 0.5000, 0.3054) and Hg at (0.5000, 0.5000, 0.5000).

Entry from the Alexandria database: an optimized crystal structure of AcPm2Hg (PBE-GGA).

Its magnetic moment is 0.00 μB per cell. The total energy is -3.701 eV per atom. For the calculated formation energy, the calculation gives -0.22 eV per atom. The density of states at the Fermi level is 5.708 states/eV/f.u.

The structure belongs to space group P4/mmm (No. 123); the cell edges are 3.8348, 3.8348 and 8.9693 Å and the angles 90.00°, 90.00° and 90.00°. The inequivalent atoms are Ac at (0.0000, 0.0000, 0.0000), Pm at (0.5000, 0.5000, 0.2903) and Hg at (0.0000, 0.0000, 0.5000).

Entry from the Alexandria database: an optimized crystal structure of Ac5Pm4Hg4 (PBE-GGA).

Its magnetic moment is 0.00 μB per cell. The total energy is -3.422 eV per atom. For the calculated formation energy, the calculation gives -0.29 eV per atom. The density of states at the Fermi level is 13.896 states/eV/f.u.

The structure belongs to space group I4/m (No. 87); the cell edges are 13.0972, 13.0972 and 5.2973 Å and the angles 90.00°, 90.00° and 90.00°. The inequivalent atoms are Ac at (0.0000, 0.0000, 0.0000), Ac at (0.1273, 0.1930, 0.5000), Pm at (0.0947, 0.5962, 0.5000) and Hg at (0.0786, 0.7545, 0.0000).

Entry from the Alexandria database: an optimized crystal structure of Ac3PmHg (PBE-GGA).

Its magnetic moment is 0.00 μB per cell. The total energy is -3.561 eV per atom. For the calculated formation energy, the calculation gives -0.09 eV per atom. The density of states at the Fermi level is 6.161 states/eV/f.u.

The structure belongs to space group C2/m (No. 12); the cell edges are 24.2870, 3.9193 and 8.4744 Å and the angles 90.00°, 103.00° and 90.00°. The inequivalent atoms are Ac at (0.0126, 0.0000, 0.2522), Ac at (0.1202, 0.5000, 0.0271), Ac at (0.1746, 0.0000, 0.4741), Pm at (0.2452, 0.5000, 0.8333) and Hg at (0.0814, 0.5000, 0.6060).

Entry from the Alexandria database: an optimized crystal structure of Ac2PmHg (PBE-GGA).

Its magnetic moment is 0.02 μB per cell. The total energy is -3.356 eV per atom. For the calculated formation energy, the calculation gives -0.04 eV per atom. The density of states at the Fermi level is 5.499 states/eV/f.u.

The structure belongs to space group Fm-3m (No. 225); the cell edges are 8.2883, 8.2883 and 8.2883 Å and the angles 90.00°, 90.00° and 90.00°. The inequivalent atoms are Ac at (0.2500, 0.2500, 0.2500), Pm at (0.0000, 0.0000, 0.0000) and Hg at (0.0000, 0.0000, 0.5000).

Entry from the Alexandria database: an optimized crystal structure of Ac2PmHg (PBE-GGA).

Its magnetic moment is 0.00 μB per cell. The total energy is -3.442 eV per atom. For the calculated formation energy, the calculation gives -0.12 eV per atom. The density of states at the Fermi level is 4.951 states/eV/f.u.

The structure belongs to space group R3m (No. 160, hexagonal axes); the cell edges are 3.9542, 3.9542 and 33.7173 Å and the angles 90.00°, 90.00° and 120.00°. The inequivalent atoms are Ac at (0.0000, 0.0000, 0.0000), Ac at (0.0000, 0.0000, 0.1810), Pm at (0.0000, 0.0000, 0.4231) and Hg at (0.0000, 0.0000, 0.5908).

Q: The lowest calculated formation energy belongs to which entry?
A: AcPm4Hg5